A plane-wave DFT calculation with SCAN was carried out for a PBEsol-optimized structure of ScReTc.

Lattice parameters (Å, degrees): 4.3761 4.3761 2.8018 90.00 90.00 120.00
Fractional positions:
Sc  0.0000  0.0000  0.0000
Re  0.6667  0.3333  0.3692
Tc  0.3333  0.6667  0.6616

Output
relative energy among the computed polymorphs: 0.000 eV/f.u.
M_tot: 0.00 μB/cell
symmetry: P3m1 (156)
E_form: -114 meV per atom

---

A plane-wave DFT calculation with SCAN was carried out for a PBEsol-optimized structure of ScReTc.

Lattice parameters (Å, degrees): 7.0576 6.8629 2.7455 82.64 74.67 22.69
Fractional positions:
Sc  0.0000  0.0000  0.0000
Re  0.3251  0.3251  0.6749
Tc  0.6704  0.6704  0.3296

Output
relative energy among the computed polymorphs: 0.497 eV/f.u.
M_tot: 0.00 μB/cell
symmetry: Fmm2 (42)
E_form: 51 meV per atom

---

A plane-wave DFT calculation with SCAN was carried out for a PBEsol-optimized structure of Sc2ReTe.

Lattice parameters (Å, degrees): 10.1337 10.1337 10.1337 17.40 17.40 17.40
Fractional positions:
Sc  0.0844  0.0844  0.0844
Sc  0.9156  0.9156  0.9156
Re  0.0000  0.0000  0.0000
Te  0.5000  0.5000  0.5000

Output
E_form (uncorrected): 49 kJ/mol of atoms
M_tot: 0.01 μB/cell
symmetry: R-3m (166)

---

A plane-wave DFT calculation with SCAN was carried out for a PBEsol-optimized structure of ScReTe2.

Lattice parameters (Å, degrees): 5.0734 5.0734 5.0150 102.92 102.92 39.76
Fractional positions:
Sc  0.0000  0.0000  0.0000
Re  0.7728  0.7728  0.3331
Te  0.2632  0.2632  0.8824
Te  0.4998  0.4998  0.4922

Output
relative energy among the computed polymorphs: 0.000 eV/f.u.
E_form (uncorrected): -10 kJ/mol of atoms
M_tot: 0.00 μB/cell
symmetry: Cm (8)